DFT (PBE) results for crystalline Tb5Ho4Sc2 at its relaxed geometry.

Cell: 8.6427 3.4577 11.3113 Å, 90.00 93.81 90.00°
Space group P2/m (No. 10)
One atom of each set of equivalent atoms:
Tb 0.0000 0.0000 0.0000 x1
Tb 0.0730 0.0000 0.3004 x2
Tb 0.3068 0.0000 0.8340 x2
Ho 0.2288 0.5000 0.5537 x2
Ho 0.3412 0.5000 0.1170 x2
Sc 0.4432 0.0000 0.3675 x2

Properties
V in Å³/cell: 337
Calculated formation energy in eV per atom: 0.090
Size of the total moment in μB per formula unit: 0.0
Distance to the lowest polymorph of the same formula in meV/atom: 0.0



DFT (PBE) results for crystalline NaSr2V at its relaxed geometry.

Cell: 9.1918 9.1918 7.5284 Å, 90.00 90.00 90.00°
Space group I-42d (No. 122)
One atom of each set of equivalent atoms:
Na 0.0000 0.0000 0.0000 x4
Sr 0.2302 0.2500 0.6250 x8
V 0.0000 0.0000 0.5000 x4

Properties
V in Å³/cell: 636
Calculated formation energy in eV per atom: 0.753
Size of the total moment in μB per formula unit: 5.0
Distance to the lowest polymorph of the same formula in meV/atom: 218.3



DFT (PBE) results for crystalline Zr13Cd2 at its relaxed geometry.

Cell: 5.9954 7.9488 8.0483 Å, 66.19 80.79 81.71°
Space group P-1 (No. 2)
One atom of each set of equivalent atoms:
Zr 0.0000 0.0000 0.0000 x1
Zr 0.1061 0.4306 0.7640 x2
Zr 0.1994 0.1995 0.2002 x2
Zr 0.2943 0.6274 0.9742 x2
Zr 0.3026 0.9538 0.6334 x2
Zr 0.3988 0.3969 0.4023 x2
Zr 0.4992 0.8337 0.1666 x2
Cd 0.0910 0.7680 0.4299 x2

Properties
V in Å³/cell: 345
Calculated formation energy in eV per atom: 0.006
Size of the total moment in μB per formula unit: 0.0



DFT (PBE) results for crystalline Hf5AgBi2 at its relaxed geometry.

Cell: 4.8430 13.9248 12.6599 Å, 90.00 90.00 90.00°
Space group Cmcm (No. 63)
One atom of each set of equivalent atoms:
Hf 0.0000 0.1203 0.1303 x8
Hf 0.0000 0.2877 0.7500 x4
Hf 0.0000 0.3098 0.0094 x8
Ag 0.0000 0.3248 0.2500 x4
Bi 0.0000 0.0947 0.6154 x8

Properties
V in Å³/cell: 854
Calculated formation energy in eV per atom: 0.257
Size of the total moment in μB per formula unit: 0.0



DFT (PBE) results for crystalline Bi2SbPd2 at its relaxed geometry.

Cell: 8.5453 8.5453 3.2818 Å, 90.00 90.00 90.00°
Space group P4/mbm (No. 127)
One atom of each set of equivalent atoms:
Bi 0.1650 0.3350 0.0000 x4
Sb 0.0000 0.0000 0.0000 x2
Pd 0.1207 0.6207 0.5000 x4

Properties
E_form (uncorrected) in eV/atom: -0.014
V in Å³/cell: 240
Size of the total moment in μB per formula unit: 0.0
Distance to the lowest polymorph of the same formula in meV/atom: 225.2



DFT (PBE) results for crystalline CaCeY at its relaxed geometry.

Cell: 3.5822 3.5822 16.0591 Å, 90.00 90.00 90.00°
Space group I4mm (No. 107)
One atom of each set of equivalent atoms:
Ca 0.0000 0.0000 0.0000 x2
Ce 0.0000 0.0000 0.3250 x2
Y 0.0000 0.0000 0.6760 x2

Properties
V in Å³/cell: 206
Calculated formation energy in eV per atom: 0.156
Size of the total moment in μB per formula unit: 1.0
Distance to the lowest polymorph of the same formula in meV/atom: 15.8



DFT (PBE) results for crystalline PmHo2Mg6 at its relaxed geometry.

Cell: 9.0943 9.0943 3.2964 Å, 90.00 90.00 120.00°
Space group P6/mmm (No. 191)
One atom of each set of equivalent atoms:
Pm 0.0000 0.0000 0.0000 x1
Ho 0.3333 0.6667 0.0000 x2
Mg 0.0000 0.3364 0.5000 x6

Properties
V in Å³/cell: 236
Calculated formation energy in eV per atom: -0.076
Size of the total moment in μB per formula unit: 0.0



DFT (PBE) results for crystalline LaMoP2 at its relaxed geometry.

Cell: 5.5352 5.5352 13.3479 Å, 90.00 90.00 90.00°
Space group I-42d (No. 122)
One atom of each set of equivalent atoms:
La 0.0000 0.0000 0.0000 x4
Mo 0.0000 0.0000 0.5000 x4
P 0.1444 0.2500 0.6250 x8

Properties
V in Å³/cell: 409
Calculated formation energy in eV per atom: -0.441
Size of the total moment in μB per formula unit: 0.0
Distance to the lowest polymorph of the same formula in meV/atom: 402.6



DFT (PBE) results for crystalline ReHg at its relaxed geometry.

Cell: 2.9938 17.2961 2.9886 Å, 90.00 90.00 90.00°
Space group Cmcm (No. 63)
One atom of each set of equivalent atoms:
Re 0.0000 0.2084 0.2500 x4
Hg 0.0000 0.4211 0.2500 x4

Properties
V in Å³/cell: 155
Calculated formation energy in eV per atom: 0.392
Size of the total moment in μB per formula unit: 0.0
Distance to the lowest polymorph of the same formula in meV/atom: 0.0



DFT (PBE) results for crystalline La2NdHo6 at its relaxed geometry.

Cell: 3.4041 10.0895 17.5631 Å, 90.00 90.00 90.00°
Space group Immm (No. 71)
One atom of each set of equivalent atoms:
La 0.0000 0.0000 0.1665 x4
Nd 0.0000 0.0000 0.5000 x2
Ho 0.0000 0.1861 0.3335 x8
Ho 0.0000 0.1906 0.0000 x4

Properties
V in Å³/cell: 603
Calculated formation energy in eV per atom: 0.198
Size of the total moment in μB per formula unit: 0.0



DFT (PBE) results for crystalline Al3SiTe at its relaxed geometry.

Cell: 4.8861 4.8861 4.8861 Å, 90.00 90.00 90.00°
Space group Pm-3m (No. 221)
One atom of each set of equivalent atoms:
Al 0.0000 0.0000 0.5000 x3
Si 0.0000 0.0000 0.0000 x1
Te 0.5000 0.5000 0.5000 x1

Properties
E_form (uncorrected) in eV/atom: 0.320
V in Å³/cell: 117
Size of the total moment in μB per formula unit: 0.0
Distance to the lowest polymorph of the same formula in meV/atom: 0.0



DFT (PBE) results for crystalline AlPPb at its relaxed geometry.

Cell: 6.7328 6.7328 6.7328 Å, 90.00 90.00 90.00°
Space group F-43m (No. 216)
One atom of each set of equivalent atoms:
Al 0.0000 0.0000 0.0000 x4
P 0.2500 0.2500 0.2500 x4
Pb 0.0000 0.0000 0.5000 x4

Properties
V in Å³/cell: 305
Calculated formation energy in eV per atom: 0.341
Size of the total moment in μB per formula unit: 0.0
Distance to the lowest polymorph of the same formula in meV/atom: 424.6